No. 1
# Rb2Cu2Br5 | Alexandria via LeMat-Bulk | PBE | relaxed
data_Rb2Cu2Br5
_cell_length_a 10.923
_cell_length_b 5.053
_cell_length_c 5.053
_cell_angle_alpha 89.99
_cell_angle_beta 90.00
_cell_angle_gamma 90.00
_space_group_name_H-M_alt 'P 1'
_space_group_IT_number 1
_space_group_name_Hall 'P 1'
loop_
_atom_site_label
_atom_site_fract_x
_atom_site_fract_y
_atom_site_fract_z
Rb1 0.000 0.000 0.000
Rb2 0.500 0.000 0.000
Cu1 0.238 0.502 0.502
Cu2 0.762 0.502 0.502
Br1 0.000 0.500 0.500
Br2 0.278 0.001 0.501
Br3 0.278 0.501 0.001
Br4 0.722 0.001 0.501
Br5 0.722 0.501 0.001
# * calculated volume: 278.88 Å³/f.u.
# * total moment: 0.000 μB/cell
# * formation energy (no corrections): -0.93 eV/atom

***

No. 2
# YHfPtRh | Alexandria via LeMat-Bulk | PBE | relaxed
data_YHfPtRh
_cell_length_a 6.770
_cell_length_b 6.770
_cell_length_c 6.770
_cell_angle_alpha 90.00
_cell_angle_beta 90.00
_cell_angle_gamma 90.00
_space_group_name_H-M_alt 'P 1'
_space_group_IT_number 1
_space_group_name_Hall 'P 1'
loop_
_atom_site_label
_atom_site_fract_x
_atom_site_fract_y
_atom_site_fract_z
Y1 0.000 0.000 0.000
Y2 0.000 0.500 0.500
Y3 0.500 0.000 0.500
Y4 0.500 0.500 0.000
Hf1 0.000 0.000 0.500
Hf2 0.000 0.500 0.000
Hf3 0.500 0.000 0.000
Hf4 0.500 0.500 0.500
Pt1 0.250 0.250 0.250
Pt2 0.250 0.750 0.750
Pt3 0.750 0.250 0.750
Pt4 0.750 0.750 0.250
Rh1 0.250 0.250 0.750
Rh2 0.250 0.750 0.250
Rh3 0.750 0.250 0.250
Rh4 0.750 0.750 0.750
# * calculated volume: 77.59 Å³/f.u.
# * total moment: 0.000 μB/cell
# * energy relative to the elements: -0.8980 eV/atom

***

No. 3
# TeClF2 | Alexandria via LeMat-Bulk | PBE | relaxed
data_TeClF2
_cell_length_a 4.444
_cell_length_b 4.444
_cell_length_c 15.025
_cell_angle_alpha 90.00
_cell_angle_beta 90.00
_cell_angle_gamma 90.00
_space_group_name_H-M_alt 'P 1'
_space_group_IT_number 1
_space_group_name_Hall 'P 1'
loop_
_atom_site_label
_atom_site_fract_x
_atom_site_fract_y
_atom_site_fract_z
Te1 0.000 0.000 0.000
Te2 0.000 0.500 0.250
Te3 0.500 0.000 0.750
Te4 0.500 0.500 0.500
Cl1 0.000 0.000 0.500
Cl2 0.000 0.500 0.750
Cl3 0.500 0.000 0.250
Cl4 0.500 0.500 0.000
F1 0.082 0.250 0.125
F2 0.250 0.582 0.375
F3 0.250 0.918 0.875
F4 0.418 0.250 0.625
F5 0.582 0.750 0.625
F6 0.750 0.082 0.875
F7 0.750 0.418 0.375
F8 0.918 0.750 0.125
# * calculated volume: 74.19 Å³/f.u.
# * total moment: 0.000 μB/cell
# * energy above the most stable polymorph in this dataset: 0.0 meV/atom
# * formation energy (no corrections): -0.93 eV/atom

***

No. 4
# BaTlIr2 | Alexandria via LeMat-Bulk | PBE | relaxed
data_BaTlIr2
_cell_length_a 6.598
_cell_length_b 8.092
_cell_length_c 3.309
_cell_angle_alpha 90.00
_cell_angle_beta 90.00
_cell_angle_gamma 90.00
_space_group_name_H-M_alt 'P 1'
_space_group_IT_number 1
_space_group_name_Hall 'P 1'
loop_
_atom_site_label
_atom_site_fract_x
_atom_site_fract_y
_atom_site_fract_z
Ba1 0.000 0.000 0.000
Ba2 0.500 0.500 0.000
Tl1 0.000 0.500 0.000
Tl2 0.500 0.000 0.000
Ir1 0.250 0.250 0.500
Ir2 0.250 0.750 0.500
Ir3 0.750 0.250 0.500
Ir4 0.750 0.750 0.500
# * calculated volume: 88.34 Å³/f.u.
# * total moment: 0.000 μB/cell
# * energy relative to the elements: 0.6618 eV/atom

***

No. 5
# Li4PaTe4 | Alexandria via LeMat-Bulk | PBE | relaxed
data_Li4PaTe4
_cell_length_a 8.130
_cell_length_b 8.130
_cell_length_c 8.130
_cell_angle_alpha 129.96
_cell_angle_beta 129.96
_cell_angle_gamma 73.47
_space_group_name_H-M_alt 'P 1'
_space_group_IT_number 1
_space_group_name_Hall 'P 1'
loop_
_atom_site_label
_atom_site_fract_x
_atom_site_fract_y
_atom_site_fract_z
Li1 0.000 0.500 0.500
Li2 0.231 0.231 0.000
Li3 0.500 0.000 0.500
Li4 0.769 0.769 0.000
Pa1 0.500 0.500 0.000
Te1 0.128 0.617 0.000
Te2 0.383 0.383 0.511
Te3 0.617 0.128 0.000
Te4 0.872 0.872 0.489
# * calculated volume: 308.10 Å³/f.u.
# * total moment: 1.002 μB/cell
# * formation energy (no corrections): -0.78 eV/atom

***

No. 6
# LiPu3Cl8 | Alexandria via LeMat-Bulk | PBE | relaxed
data_LiPu3Cl8
_cell_length_a 7.892
_cell_length_b 7.892
_cell_length_c 7.918
_cell_angle_alpha 117.28
_cell_angle_beta 117.28
_cell_angle_gamma 62.88
_space_group_name_H-M_alt 'P 1'
_space_group_IT_number 1
_space_group_name_Hall 'P 1'
loop_
_atom_site_label
_atom_site_fract_x
_atom_site_fract_y
_atom_site_fract_z
Li1 0.000 0.000 0.000
Pu1 0.000 0.500 0.500
Pu2 0.500 0.000 0.500
Pu3 0.500 0.500 0.000
Cl1 0.235 0.235 0.248
Cl2 0.236 0.753 0.766
Cl3 0.247 0.764 0.234
Cl4 0.253 0.253 0.745
Cl5 0.747 0.747 0.255
Cl6 0.753 0.236 0.766
Cl7 0.764 0.247 0.234
Cl8 0.765 0.765 0.752
# * calculated volume: 370.26 Å³/f.u.
# * total moment: 17.000 μB/cell
# * formation energy (no corrections): -1.85 eV/atom

***

No. 7
# PmPt | Alexandria via LeMat-Bulk | PBE | relaxed
data_PmPt
_cell_length_a 3.899
_cell_length_b 10.820
_cell_length_c 4.542
_cell_angle_alpha 90.00
_cell_angle_beta 90.00
_cell_angle_gamma 90.00
_space_group_name_H-M_alt 'P 1'
_space_group_IT_number 1
_space_group_name_Hall 'P 1'
loop_
_atom_site_label
_atom_site_fract_x
_atom_site_fract_y
_atom_site_fract_z
Pm1 0.000 0.137 0.250
Pm2 0.000 0.863 0.750
Pm3 0.500 0.363 0.750
Pm4 0.500 0.637 0.250
Pt1 0.000 0.412 0.250
Pt2 0.000 0.588 0.750
Pt3 0.500 0.088 0.750
Pt4 0.500 0.912 0.250
# * calculated volume: 47.91 Å³/f.u.
# * total moment: 0.000 μB/cell
# * energy relative to the elements: -1.1790 eV/atom

***

No. 8
# Bi2PdPb2 | Alexandria via LeMat-Bulk | PBE | relaxed
data_Bi2PdPb2
_cell_length_a 7.276
_cell_length_b 7.276
_cell_length_c 7.225
_cell_angle_alpha 105.52
_cell_angle_beta 105.52
_cell_angle_gamma 117.15
_space_group_name_H-M_alt 'P 1'
_space_group_IT_number 1
_space_group_name_Hall 'P 1'
loop_
_atom_site_label
_atom_site_fract_x
_atom_site_fract_y
_atom_site_fract_z
Bi1 0.247 0.247 0.404
Bi2 0.251 0.251 0.871
Bi3 0.749 0.749 0.129
Bi4 0.753 0.753 0.596
Pd1 0.121 0.879 0.000
Pd2 0.879 0.121 0.000
Pb1 0.242 0.668 0.247
Pb2 0.332 0.758 0.753
Pb3 0.668 0.242 0.247
Pb4 0.758 0.332 0.753
# * calculated volume: 146.06 Å³/f.u.
# * total moment: 0.000 μB/cell
# * energy above the most stable polymorph in this dataset: 31.9 meV/atom
# * energy relative to the elements: -0.0947 eV/atom